1.
Computed, not measured: a geometry-optimized EuDy2Hg structure at the PBE level of DFT.

Total magnetic moment in μB/cell: 7.19
Space group: P4/mmm (123)
Density of states at the Fermi level in states/eV/atom: 1.06
ΔE_f in meV per atom: -110
ΔE to the lowest computed polymorph in eV per atom: 0.052

Unit cell a=4.910 b=4.910 c=4.790 alpha=90.00 beta=90.00 gamma=90.00
Element x y z (fractional)
Eu (0.000, 0.000, 0.000)
Dy (0.000, 0.500, 0.500)
Dy (0.500, 0.000, 0.500)
Hg (0.500, 0.500, 0.000)



2.
Computed, not measured: a geometry-optimized EuDy2Hg structure at the PBE level of DFT.

Total magnetic moment in μB/cell: 8.04
Space group: P4/mmm (123)
Density of states at the Fermi level in states/eV/atom: 1.32
ΔE_f in meV per atom: -162
ΔE to the lowest computed polymorph in eV per atom: 0.000

Unit cell a=3.663 b=3.663 c=9.191 alpha=90.00 beta=90.00 gamma=90.00
Element x y z (fractional)
Eu (0.000, 0.000, 0.000)
Dy (0.500, 0.500, 0.294)
Dy (0.500, 0.500, 0.706)
Hg (0.000, 0.000, 0.500)



3.
Computed, not measured: a geometry-optimized EuDy2Hg structure at the PBE level of DFT.

Total magnetic moment in μB/cell: 7.76
Space group: R-3m (166)
Density of states at the Fermi level in states/eV/atom: 0.79
ΔE_f in meV per atom: -125
ΔE to the lowest computed polymorph in eV per atom: 0.037

Unit cell a=11.039 b=11.039 c=11.039 alpha=19.15 beta=19.15 gamma=19.15
Element x y z (fractional)
Eu (0.000, 0.000, 0.000)
Dy (0.239, 0.239, 0.239)
Dy (0.761, 0.761, 0.761)
Hg (0.500, 0.500, 0.500)



4.
Computed, not measured: a geometry-optimized EuDyHg4 structure at the PBE level of DFT.

Total magnetic moment in μB/cell: 7.14
Space group: F-43m (216)
Density of states at the Fermi level in states/eV/atom: 0.68
ΔE_f in meV per atom: -244

Unit cell a=6.028 b=6.028 c=6.028 alpha=60.00 beta=60.00 gamma=60.00
Element x y z (fractional)
Eu (0.000, 0.000, 0.000)
Dy (0.750, 0.750, 0.750)
Hg (0.375, 0.375, 0.375)
Hg (0.375, 0.375, 0.874)
Hg (0.375, 0.874, 0.375)
Hg (0.874, 0.375, 0.375)